A plane-wave DFT calculation with PBE-GGA was carried out for a relaxed LaSb5P3 crystal.

Cell: 8.387 8.387 8.019 Å, 90.00 90.00 64.89°
Atoms (fractional coordinates):
1 La 0.000 0.000 0.000
2 La 0.000 0.000 0.500
3 Sb 0.080 0.416 0.250
4 Sb 0.348 0.652 0.750
5 Sb 0.364 0.364 0.000
6 Sb 0.364 0.364 0.500
7 Sb 0.416 0.080 0.750
8 Sb 0.584 0.920 0.250
9 Sb 0.636 0.636 0.000
10 Sb 0.636 0.636 0.500
11 Sb 0.652 0.348 0.250
12 Sb 0.920 0.584 0.750
13 P 0.005 0.249 0.750
14 P 0.249 0.005 0.250
15 P 0.266 0.734 0.250
16 P 0.734 0.266 0.750
17 P 0.751 0.995 0.750
18 P 0.995 0.751 0.250

Results
M_tot: 0.000 μB per formula unit
Raw formation energy: -8.0 kJ per mole of atoms
DOS at the Fermi energy: 0.444 states/eV/atom
SG: No. 63
Total DFT energy (no corrections): -4.724 eV/atom

A plane-wave DFT calculation with PBE-GGA was carried out for a relaxed Ba2MgAu crystal.

Cell: 5.638 5.638 5.638 Å, 60.00 60.00 60.00°
Atoms (fractional coordinates):
1 Ba 0.000 0.000 0.000
2 Ba 0.250 0.250 0.250
3 Mg 0.500 0.500 0.500
4 Au 0.750 0.750 0.750

Results
M_tot: 0.000 μB per formula unit
Calculated formation energy: -173 meV per atom
DOS at the Fermi energy: 0.833 states/eV/atom
SG: No. 216
Total DFT energy (no corrections): -2.352 eV/atom

A plane-wave DFT calculation with PBE-GGA was carried out for a relaxed RbAg3F8 crystal.

Cell: 5.788 5.788 7.403 Å, 90.00 90.00 120.00°
Atoms (fractional coordinates):
1 Rb 0.000 0.000 0.000
2 Ag 0.000 0.000 0.500
3 Ag 0.333 0.667 0.628
4 Ag 0.667 0.333 0.372
5 F 0.067 0.341 0.352
6 F 0.274 0.933 0.352
7 F 0.333 0.667 0.902
8 F 0.341 0.274 0.648
9 F 0.659 0.726 0.352
10 F 0.667 0.333 0.098
11 F 0.726 0.067 0.648
12 F 0.933 0.659 0.648

Results
M_tot: 4.009 μB per formula unit
Raw formation energy: -120.7 kJ per mole of atoms
DOS at the Fermi energy: 0.093 states/eV/atom
SG: No. 147
Total DFT energy (no corrections): -3.292 eV/atom